(1)
First-principles (PBE) data for a relaxed CsKPaF6 crystal, as listed in the Alexandria database.

a = 6.8511 Å, b = 6.8511 Å, c = 10.9590 Å
α = 90.00°, β = 90.00°, γ = 120.00°
Closest atoms and distances in Å follow each position.
Atoms (fractional coordinates):
Cs 0.0000 0.0000 0.0000  6 F 3.02
Cs 0.0000 0.0000 0.5000  6 F 3.02
K 0.3333 0.6667 0.2500  6 F 2.72
K 0.6667 0.3333 0.7500  6 F 2.72
Pa 0.3333 0.6667 0.7500  6 F 2.21
Pa 0.6667 0.3333 0.2500  6 F 2.21
F 0.0537 0.4008 0.6424  1 Pa 2.21
F 0.0537 0.6529 0.8576  1 Pa 2.21
F 0.3471 0.4008 0.8576  1 Pa 2.21
F 0.3471 0.9463 0.6424  1 Pa 2.21
F 0.4008 0.0537 0.1424  1 Pa 2.21
F 0.4008 0.3471 0.3576  1 Pa 2.21
F 0.5992 0.6529 0.6424  1 Pa 2.21
F 0.5992 0.9463 0.8576  1 Pa 2.21
F 0.6529 0.0537 0.3576  1 Pa 2.21
F 0.6529 0.5992 0.1424  1 Pa 2.21
F 0.9463 0.3471 0.1424  1 Pa 2.21
F 0.9463 0.5992 0.3576  1 Pa 2.21

---

(2)
First-principles (PBE) data for a relaxed Cs2KPb2F7 crystal, as listed in the Alexandria database.

a = 4.8124 Å, b = 4.8124 Å, c = 12.7134 Å
α = 98.94°, β = 98.94°, γ = 93.35°
Closest atoms and distances in Å follow each position.
Atoms (fractional coordinates):
Cs 0.1876 0.1876 0.3727  4 F 2.88-3.21
Cs 0.8124 0.8124 0.6273  4 F 2.88-3.21
K 0.0000 0.0000 0.0000  4 F 2.92
Pb 0.3909 0.3909 0.8084  6 F 2.38-2.52
Pb 0.6091 0.6091 0.1916  6 F 2.38-2.52
F 0.0948 0.6704 0.1747  2 Pb 2.39-2.49
F 0.2758 0.2758 0.6053  1 Pb 2.52
F 0.3296 0.9052 0.8253  2 Pb 2.39-2.49
F 0.5000 0.5000 0.0000  2 Pb 2.38
F 0.6704 0.0948 0.1747  2 Pb 2.39-2.49
F 0.7242 0.7242 0.3947  1 Pb 2.52
F 0.9052 0.3296 0.8253  2 Pb 2.39-2.49

---

(3)
First-principles (PBE) data for a relaxed CsK2Pb2F7 crystal, as listed in the Alexandria database.

a = 4.8823 Å, b = 4.8823 Å, c = 12.2033 Å
α = 100.89°, β = 100.89°, γ = 90.58°
Closest atoms and distances in Å follow each position.
Atoms (fractional coordinates):
Cs 0.0000 0.0000 0.0000  12 F 3.41-3.58
K 0.1284 0.1284 0.3741  4 F 2.53-2.83
K 0.8716 0.8716 0.6259  4 F 2.53-2.83
Pb 0.4058 0.4058 0.7875  6 F 2.37-2.50
Pb 0.5942 0.5942 0.2125  6 F 2.37-2.50
F 0.0864 0.6252 0.2124  2 Pb 2.41-2.48
F 0.2503 0.2503 0.5887  1 Pb 2.37, 1 K 2.53
F 0.3748 0.9136 0.7876  2 Pb 2.41-2.48
F 0.5000 0.5000 0.0000  2 Pb 2.50
F 0.6252 0.0864 0.2124  2 Pb 2.41-2.48
F 0.7497 0.7497 0.4113  1 Pb 2.37, 1 K 2.53
F 0.9136 0.3748 0.7876  2 Pb 2.41-2.48

---

(4)
First-principles (PBE) data for a relaxed Cs4KPb3F12 crystal, as listed in the Alexandria database.

a = 8.4204 Å, b = 8.4204 Å, c = 8.4204 Å
α = 109.47°, β = 109.47°, γ = 109.47°
Closest atoms and distances in Å follow each position.
Atoms (fractional coordinates):
Cs 0.0000 0.0000 0.5000  12 F 3.44
Cs 0.0000 0.5000 0.0000  12 F 3.44
Cs 0.5000 0.0000 0.0000  12 F 3.44
Cs 0.5000 0.5000 0.5000  12 F 3.44
K 0.0000 0.0000 0.0000  6 F 2.55
Pb 0.0000 0.5000 0.5000  6 F 2.31-2.43
Pb 0.5000 0.0000 0.5000  6 F 2.31-2.43
Pb 0.5000 0.5000 0.0000  6 F 2.31-2.43
F 0.0000 0.2625 0.2625  1 Pb 2.31, 1 K 2.55
F 0.0000 0.7375 0.7375  1 Pb 2.31, 1 K 2.55
F 0.2500 0.5000 0.7500  2 Pb 2.43
F 0.2500 0.7500 0.5000  2 Pb 2.43
F 0.2625 0.0000 0.2625  1 Pb 2.31, 1 K 2.55
F 0.2625 0.2625 0.0000  1 Pb 2.31, 1 K 2.55
F 0.5000 0.2500 0.7500  2 Pb 2.43
F 0.5000 0.7500 0.2500  2 Pb 2.43
F 0.7375 0.0000 0.7375  1 Pb 2.31, 1 K 2.55
F 0.7375 0.7375 0.0000  1 Pb 2.31, 1 K 2.55
F 0.7500 0.2500 0.5000  2 Pb 2.43
F 0.7500 0.5000 0.2500  2 Pb 2.43

---

(5)
First-principles (PBE) data for a relaxed CsKPbF4 crystal, as listed in the Alexandria database.

a = 4.7711 Å, b = 4.7711 Å, c = 14.7373 Å
α = 90.00°, β = 90.00°, γ = 90.00°
Closest atoms and distances in Å follow each position.
Atoms (fractional coordinates):
Cs 0.0000 0.0000 0.0000  1 F 2.74
Cs 0.5000 0.5000 0.5000  1 F 2.74
K 0.0000 0.0000 0.7015  1 F 2.61
K 0.5000 0.5000 0.2015  1 F 2.61
Pb 0.0000 0.0000 0.3425  5 F 2.31-2.41
Pb 0.5000 0.5000 0.8425  5 F 2.31-2.41
F 0.0000 0.0000 0.1861  1 Pb 2.31
F 0.0000 0.0000 0.5245  1 K 2.61, 1 Pb 2.68
F 0.0000 0.5000 0.3193  2 Pb 2.41
F 0.0000 0.5000 0.8193  2 Pb 2.41
F 0.5000 0.0000 0.3193  2 Pb 2.41
F 0.5000 0.0000 0.8193  2 Pb 2.41
F 0.5000 0.5000 0.0245  1 K 2.61, 1 Pb 2.68
F 0.5000 0.5000 0.6861  1 Pb 2.31

---

(6)
First-principles (PBE) data for a relaxed CsK2PbF6 crystal, as listed in the Alexandria database.

a = 6.6288 Å, b = 7.0789 Å, c = 11.4880 Å
α = 90.00°, β = 123.99°, γ = 90.00°
Closest atoms and distances in Å follow each position.
Atoms (fractional coordinates):
Cs 0.0000 0.0000 0.0000  6 F 2.82-3.13
Cs 0.0000 0.5000 0.5000  6 F 2.82-3.13
K 0.2180 0.0321 0.7219  6 F 2.65-2.95
K 0.2180 0.4679 0.2219  6 F 2.65-2.95
K 0.7820 0.5321 0.7781  6 F 2.65-2.95
K 0.7820 0.9679 0.2781  6 F 2.65-2.95
Pb 0.5000 0.0000 0.5000  6 F 2.27-2.30
Pb 0.5000 0.5000 0.0000  6 F 2.27-2.30
F 0.1768 0.1486 0.4769  1 Pb 2.27
F 0.1768 0.3514 0.9769  1 Pb 2.27
F 0.2339 0.7456 0.8823  1 Pb 2.30
F 0.2339 0.7544 0.3823  1 Pb 2.30
F 0.4234 0.1244 0.2950  1 Pb 2.29
F 0.4234 0.3756 0.7950  1 Pb 2.29
F 0.5766 0.6244 0.2050  1 Pb 2.29
F 0.5766 0.8756 0.7050  1 Pb 2.29
F 0.7661 0.2456 0.6177  1 Pb 2.30
F 0.7661 0.2544 0.1177  1 Pb 2.30
F 0.8232 0.6486 0.0231  1 Pb 2.27
F 0.8232 0.8514 0.5231  1 Pb 2.27

---

Short version: formation energy from raw total energies = -3.43; -2.53; -2.54; -2.53; -2.55; -2.52 eV per atom, in the order given.